Material: ZrZnMo2
Method: DFT, PBE
State: optimized geometry

For the total energy, the calculation gives -7.7934 eV/atom. For the total magnetization, the calculation gives 0.0 μB per cell. The calculation puts the density of states at the Fermi level at 0.86 states/eV/atom.

CIF file:
```
data_ZrZnMo2
_space_group_name_H-M_alt 'I m m 2'
_space_group_IT_number 44
_space_group_name_Hall 'I 2 -2'
_cell_length_a 3.4816
_cell_length_b 4.5720
_cell_length_c 8.6697
_cell_angle_alpha 90.00
_cell_angle_beta 90.00
_cell_angle_gamma 90.00
loop_
_atom_site_label
_atom_site_type_symbol
_atom_site_fract_x
_atom_site_fract_y
_atom_site_fract_z
_atom_site_occupancy
Zr1 Zr 0.0000 0.0000 0.0000 1
Zn1 Zn 0.0000 0.5000 0.7700 1
Mo1 Mo 0.0000 0.0000 0.5284 1
Mo2 Mo 0.0000 0.5000 0.2463 1
```

Material: Zr2Zn2Mo
Method: DFT, PBE
State: optimized geometry

For the total energy, the calculation gives -6.1095 eV/atom. For the total magnetization, the calculation gives 0.0 μB per cell. The calculation puts the density of states at the Fermi level at 1.20 states/eV/atom.

CIF file:
```
data_Zr2Zn2Mo
_space_group_name_H-M_alt 'P 4/m b m'
_space_group_IT_number 127
_space_group_name_Hall '-P 4 2ab'
_cell_length_a 6.9223
_cell_length_b 6.9223
_cell_length_c 3.8060
_cell_angle_alpha 90.00
_cell_angle_beta 90.00
_cell_angle_gamma 90.00
loop_
_atom_site_label
_atom_site_type_symbol
_atom_site_fract_x
_atom_site_fract_y
_atom_site_fract_z
_atom_site_occupancy
Zr1 Zr 0.1839 0.3161 0.0000 1
Zn1 Zn 0.1228 0.6228 0.5000 1
Mo1 Mo 0.0000 0.0000 0.5000 1
```

Material: ZrZnMo2
Method: DFT, PBE
State: optimized geometry

For the total energy, the calculation gives -7.7312 eV/atom. For the total magnetization, the calculation gives 0.0 μB per cell. The calculation puts the density of states at the Fermi level at 0.99 states/eV/atom.

CIF file:
```
data_ZrZnMo2
_space_group_name_H-M_alt 'I m m m'
_space_group_IT_number 71
_space_group_name_Hall '-I 2 2'
_cell_length_a 3.4168
_cell_length_b 4.3864
_cell_length_c 9.1509
_cell_angle_alpha 90.00
_cell_angle_beta 90.00
_cell_angle_gamma 90.00
loop_
_atom_site_label
_atom_site_type_symbol
_atom_site_fract_x
_atom_site_fract_y
_atom_site_fract_z
_atom_site_occupancy
Zr1 Zr 0.0000 0.0000 0.0000 1
Zn1 Zn 0.0000 0.0000 0.5000 1
Mo1 Mo 0.0000 0.5000 0.2502 1
```

Material: ZrZnMo2
Method: DFT, PBE
State: optimized geometry

For the total energy, the calculation gives -7.7624 eV/atom. For the total magnetization, the calculation gives 0.0 μB per cell. The calculation puts the density of states at the Fermi level at 0.74 states/eV/atom.

CIF file:
```
data_ZrZnMo2
_space_group_name_H-M_alt 'P 4/m m m'
_space_group_IT_number 123
_space_group_name_Hall '-P 4 2'
_cell_length_a 3.4060
_cell_length_b 3.4060
_cell_length_c 5.9477
_cell_angle_alpha 90.00
_cell_angle_beta 90.00
_cell_angle_gamma 90.00
loop_
_atom_site_label
_atom_site_type_symbol
_atom_site_fract_x
_atom_site_fract_y
_atom_site_fract_z
_atom_site_occupancy
Zr1 Zr 0.0000 0.0000 0.0000 1
Zn1 Zn 0.0000 0.0000 0.5000 1
Mo1 Mo 0.5000 0.5000 0.2946 1
```

Material: Zr2ZnMo
Method: DFT, PBE
State: optimized geometry

For the total energy, the calculation gives -7.2830 eV/atom. For the total magnetization, the calculation gives 0.0 μB per cell. The calculation puts the density of states at the Fermi level at 1.09 states/eV/atom.

CIF file:
```
data_Zr2ZnMo
_space_group_name_H-M_alt 'P 4 m m'
_space_group_IT_number 99
_space_group_name_Hall 'P 4 -2'
_cell_length_a 3.4561
_cell_length_b 3.4561
_cell_length_c 6.2528
_cell_angle_alpha 90.00
_cell_angle_beta 90.00
_cell_angle_gamma 90.00
loop_
_atom_site_label
_atom_site_type_symbol
_atom_site_fract_x
_atom_site_fract_y
_atom_site_fract_z
_atom_site_occupancy
Zr1 Zr 0.0000 0.0000 0.0000 1
Zr2 Zr 0.5000 0.5000 0.2999 1
Zn1 Zn 0.5000 0.5000 0.7548 1
Mo1 Mo 0.0000 0.0000 0.5414 1
```

Material: ZrZnMo2
Method: DFT, PBE
State: optimized geometry

For the total energy, the calculation gives -7.6761 eV/atom. For the total magnetization, the calculation gives 0.0 μB per cell. The calculation puts the density of states at the Fermi level at 0.73 states/eV/atom.

CIF file:
```
data_ZrZnMo2
_space_group_name_H-M_alt 'P 4 m m'
_space_group_IT_number 99
_space_group_name_Hall 'P 4 -2'
_cell_length_a 2.7291
_cell_length_b 2.7291
_cell_length_c 9.1379
_cell_angle_alpha 90.00
_cell_angle_beta 90.00
_cell_angle_gamma 90.00
loop_
_atom_site_label
_atom_site_type_symbol
_atom_site_fract_x
_atom_site_fract_y
_atom_site_fract_z
_atom_site_occupancy
Zr1 Zr 0.0000 0.0000 0.0000 1
Zn1 Zn 0.5000 0.5000 0.7446 1
Mo1 Mo 0.0000 0.0000 0.5195 1
Mo2 Mo 0.5000 0.5000 0.2677 1
```

Material: Zr2ZnMo
Method: DFT, PBE
State: optimized geometry

For the total energy, the calculation gives -7.2374 eV/atom. For the total magnetization, the calculation gives 0.0 μB per cell. The calculation puts the density of states at the Fermi level at 1.05 states/eV/atom.

CIF file:
```
data_Zr2ZnMo
_space_group_name_H-M_alt 'P 4/m m m'
_space_group_IT_number 123
_space_group_name_Hall '-P 4 2'
_cell_length_a 2.8570
_cell_length_b 2.8570
_cell_length_c 9.1986
_cell_angle_alpha 90.00
_cell_angle_beta 90.00
_cell_angle_gamma 90.00
loop_
_atom_site_label
_atom_site_type_symbol
_atom_site_fract_x
_atom_site_fract_y
_atom_site_fract_z
_atom_site_occupancy
Zr1 Zr 0.0000 0.0000 0.2432 1
Zn1 Zn 0.5000 0.5000 0.0000 1
Mo1 Mo 0.5000 0.5000 0.5000 1
```

Material: Zr4ZnMo
Method: DFT, PBE
State: optimized geometry

For the total magnetization, the calculation gives 0.0 μB per cell. The distance to the lowest polymorph of the same formula comes out at 1.67 eV/f.u. The calculation puts the density of states at the Fermi level at 1.48 states/eV/atom.

CIF file:
```
data_Zr4ZnMo
_space_group_name_H-M_alt 'F -4 3 m'
_space_group_IT_number 216
_space_group_name_Hall 'F -4 2 3'
_cell_length_a 7.9688
_cell_length_b 7.9688
_cell_length_c 7.9688
_cell_angle_alpha 90.00
_cell_angle_beta 90.00
_cell_angle_gamma 90.00
loop_
_atom_site_label
_atom_site_type_symbol
_atom_site_fract_x
_atom_site_fract_y
_atom_site_fract_z
_atom_site_occupancy
Zr1 Zr 0.1233 0.1233 0.1233 1
Zn1 Zn 0.0000 0.0000 0.5000 1
Mo1 Mo 0.2500 0.2500 0.7500 1
```